This record from the Open Quantum Materials Database describes an optimized crystal structure of HoCd. The functional is PBE-GGA.

The space group is Pm-3m (No. 221) and the conventional cell measures 3.710, 3.710 and 3.710 Å, with angles of 90.00, 90.00 and 90.00 degrees. The asymmetric unit holds Ho at (0.000, 0.000, 0.000) and Cd at (0.500, 0.500, 0.500).

For the total magnetization, the calculation gives 0.0 Bohr magnetons per cell. The calculation puts the energy of formation at -0.326 eV/atom.



This record from the Open Quantum Materials Database describes an optimized crystal structure of HoCd2. The functional is PBE-GGA.

The space group is P-3m1 (No. 164) and the conventional cell measures 4.9409, 4.9409 and 3.3899 Å, with angles of 90.00, 90.00 and 120.00 degrees. The asymmetric unit holds Ho at (0.0000, 0.0000, 0.0000) and Cd at (0.3333, 0.6667, 0.5053).

For the total magnetization, the calculation gives 0.0 Bohr magnetons per cell. The calculation puts the energy of formation at -0.318 eV/atom.



This record from the Open Quantum Materials Database describes an optimized crystal structure of HoCd. The functional is PBE-GGA.

The space group is F-43m (No. 216) and the conventional cell measures 6.727, 6.727 and 6.727 Å, with angles of 90.00, 90.00 and 90.00 degrees. The asymmetric unit holds Ho at (0.000, 0.000, 0.000) and Cd at (0.250, 0.250, 0.250).

For the total magnetization, the calculation gives 0.1 Bohr magnetons per cell. The calculation puts the energy of formation at 0.709 eV/atom.



This record from the Open Quantum Materials Database describes an optimized crystal structure of HoCd. The functional is PBE-GGA.

The space group is Fm-3m (No. 225) and the conventional cell measures 6.129, 6.129 and 6.129 Å, with angles of 90.00, 90.00 and 90.00 degrees. The asymmetric unit holds Ho at (0.000, 0.000, 0.000) and Cd at (0.000, 0.000, 0.500).

For the total magnetization, the calculation gives 0.0 Bohr magnetons per cell. The calculation puts the energy of formation at 0.040 eV/atom.



This record from the Open Quantum Materials Database describes an optimized crystal structure of Ho2Cd. The functional is PBE-GGA.

The space group is Cmcm (No. 63) and the conventional cell measures 3.622, 16.965 and 5.361 Å, with angles of 90.00, 90.00 and 90.00 degrees. The asymmetric unit holds Ho at (0.000, 0.090, 0.250), Ho at (0.000, 0.225, 0.750) and Cd at (0.000, 0.433, 0.250).

For the total magnetization, the calculation gives 0.0 Bohr magnetons per cell. The calculation puts the energy of formation at -0.225 eV/atom.



This record from the Open Quantum Materials Database describes an optimized crystal structure of Ho2Cd. The functional is PBE-GGA.

The space group is Fd-3m (No. 227, origin choice 2) and the conventional cell measures 8.828, 8.828 and 8.828 Å, with angles of 90.00, 90.00 and 90.00 degrees. The asymmetric unit holds Ho at (0.000, 0.000, 0.000) and Cd at (0.125, 0.125, 0.625).

For the total magnetization, the calculation gives 0.1 Bohr magnetons per cell. The calculation puts the energy of formation at 0.267 eV/atom.



This record from the Open Quantum Materials Database describes an optimized crystal structure of HoCd. The functional is PBE-GGA.

The space group is P4/mmm (No. 123) and the conventional cell measures 3.705, 3.705 and 3.737 Å, with angles of 90.00, 90.00 and 90.00 degrees. The asymmetric unit holds Ho at (0.000, 0.000, 0.000) and Cd at (0.500, 0.500, 0.500).

For the total magnetization, the calculation gives 0.0 Bohr magnetons per cell. The calculation puts the energy of formation at -0.327 eV/atom.



This record from the Open Quantum Materials Database describes an optimized crystal structure of HoCd2. The functional is PBE-GGA.

The space group is P6/mmm (No. 191) and the conventional cell measures 4.9205, 4.9205 and 3.4314 Å, with angles of 90.00, 90.00 and 120.00 degrees. The asymmetric unit holds Ho at (0.0000, 0.0000, 0.0000) and Cd at (0.3333, 0.6667, 0.5000).

For the total magnetization, the calculation gives 0.0 Bohr magnetons per cell. The calculation puts the energy of formation at -0.319 eV/atom.



Q: energy of formation of number 8 (HoCd2)?
A: -0.319 eV/atom



Q: Which formula does entry 5 have?
A: Ho2Cd